No. 1
A plane-wave DFT calculation with PBE was carried out for an optimized crystal structure of Mg2Fe2Ir.

Cell: 4.9199 4.9199 4.9382 Å, 60.12 60.12 90.00°
Fractional coordinates of all 5 atoms:
Mg 0.7500 0.2500 0.5000
Mg 0.2500 0.7500 0.5000
Ir 0.0000 0.0000 0.0000
Fe 0.3479 0.3479 0.3042
Fe 0.6521 0.6521 0.6958

- energy relative to the elements (eV/atom) = 0.646



No. 2
A plane-wave DFT calculation with PBE was carried out for an optimized crystal structure of PbW2Br.

Cell: 3.1459 3.1459 9.7142 Å, 90.00 90.00 123.90°
Fractional coordinates of all 4 atoms:
Pb 0.5000 0.5000 0.7500
Br 0.5000 0.5000 0.2500
W 0.0000 0.0000 0.0091
W 0.0000 0.0000 0.4909

- ΔE_f (raw) (eV per atom) = 1.366



No. 3
A plane-wave DFT calculation with PBE was carried out for an optimized crystal structure of Fe3SiIr.

Cell: 4.0642 4.0642 4.0642 Å, 90.00 90.00 90.00°
Fractional coordinates of all 5 atoms:
Si 0.0000 0.0000 0.0000
Ir 0.5000 0.5000 0.5000
Fe 0.0000 0.5000 0.0000
Fe 0.0000 0.0000 0.5000
Fe 0.5000 0.0000 0.0000

- ΔE_f (raw) (eV per atom) = 1.039



No. 4
A plane-wave DFT calculation with PBE was carried out for an optimized crystal structure of Li2FeAs.

Cell: 4.1178 2.7809 5.9199 Å, 55.67 90.00 90.00°
Fractional coordinates of all 4 atoms:
As 0.5000 0.2500 0.2500
Fe 0.5000 0.7500 0.7500
Li 0.0000 0.9676 0.0027
Li 0.0000 0.5324 0.4973

- energy relative to the elements (eV/atom) = -0.089



No. 5
A plane-wave DFT calculation with PBE was carried out for an optimized crystal structure of CaSbF5.

Cell: 5.9704 5.9707 8.5111 Å, 112.20 98.02 105.21°
Fractional coordinates of all 14 atoms:
Ca 0.9991 0.0013 0.9994
Ca 0.9991 0.5013 0.4994
Sb 0.4876 0.2400 0.7495
Sb 0.5104 0.7625 0.2491
F 0.9002 0.1518 0.2497
F 0.0977 0.8509 0.7492
F 0.7018 0.6092 0.3813
F 0.2244 0.8208 0.1166
F 0.3294 0.3864 0.0828
F 0.3004 0.7466 0.4150
F 0.6694 0.6158 0.9158
F 0.6977 0.2552 0.5835
F 0.7729 0.1810 0.8820
F 0.2971 0.3946 0.6177

- ΔE_f (raw) (eV per atom) = -3.006